Here is a geometry-optimized Tl2SiBr structure from the Alexandria database. Energies are from PBE.

Cell: 6.548 6.548 6.548 Å, 140.13 140.13 57.66°
Positions (direct):
Tl: 0.000 0.000 0.000
Tl: 0.750 0.250 0.500
Si: 0.500 0.500 0.000
Br: 0.250 0.750 0.500

## Properties
Uncorrected formation energy ... 0.23 eV/atom
Magnetic moment ... 0.000 μB per atom
Energy above the lowest structure with this stoichiometry ... 171 meV/atom
Space group ... I-4m2, No. 119
Calculated volume ... 114 Å³/f.u.



Here is a geometry-optimized Re3Sb structure from the Alexandria database. Energies are from PBE.

Cell: 8.995 8.995 8.995 Å, 18.76 18.76 18.76°
Positions (direct):
Re: 0.000 0.000 0.000
Re: 0.254 0.254 0.254
Re: 0.746 0.746 0.746
Sb: 0.500 0.500 0.500

## Properties
Uncorrected formation energy ... 0.46 eV/atom
Magnetic moment ... 0.000 μB per atom
Energy above the lowest structure with this stoichiometry ... 39 meV/atom
Space group ... R-3m, No. 166
Calculated volume ... 66 Å³/f.u.



Here is a geometry-optimized BaZn2Pb structure from the Alexandria database. Energies are from PBE.

Cell: 3.721 3.721 7.938 Å, 90.00 90.00 90.00°
Positions (direct):
Ba: 0.000 0.000 0.000
Zn: 0.000 0.000 0.565
Zn: 0.500 0.500 0.704
Pb: 0.500 0.500 0.335

## Properties
E_form ... -0.089 eV/atom
Magnetic moment ... 0.000 μB per atom
Space group ... P4mm, No. 99
Calculated volume ... 110 Å³/f.u.



What is the formula in the second record?
Re3Sb